Here is an optimized crystal structure of CsIn2ClF from Alexandria. Energies are from PBE.

Values from the calculation:
Formation energy without anion corrections (meV per atom): -743
Final energy (eV per atom): -2.75
Symmetry: P4/mmm
Theoretical density (g/cm3): 3.0

Cell: 5.5579 7.3894 5.5579 Å, 90.00 90.00 90.00°
Last column: nearest neighbours and their distance in Å.
Element x y z (fractional)
In: 0.5000 0.0000 0.0000  2 Cl 2.78
In: 0.0000 0.0000 0.5000  2 Cl 2.78
Cs: 0.5000 0.5000 0.5000  4 F 3.93
Cl: 0.0000 0.0000 0.0000  4 In 2.78
F: 0.0000 0.5000 0.0000  2 Cl 3.69, 4 Cs 3.93